{
  "formula": "ZnCrAuF2",
  "functional": "PBE with a Hubbard U",
  "state": "relaxed",
  "lattice_angstrom": [[3.957, 0.000, 0.000], [0.000, 5.555, 0.000], [0.000, 0.000, 3.957]],
  "species": ["Cr", "Zn", "Au", "F", "F"],
  "fractional_positions": [[0.500, 0.500, 0.500], [0.000, 0.000, 0.000], [0.000, 0.500, 0.000], [0.000, 0.000, 0.500], [0.500, 0.000, 0.000]],
  "sg": "P4/mmm, No. 123",
  "vol_a3_per_fu": 87.0,
  "crystal_system": "tetragonal",
  "dft_energy_ev_per_atom": -4.173,
  "magnetic_moment_mub_per_fu": 4.95
}